[1]
Density functional theory data (PBE-GGA) for a geometry-optimized Ag2IF structure.

Unit cell a=3.7903 b=4.6522 c=4.6522 alpha=90.00 beta=90.00 gamma=90.00
With the nearest neighbours (Å) after each atom.
Fractional positions:
1 Ag 0.0000 0.0000 0.5000  4 F 3.00, 4 I 3.00, 4 Ag 3.29
2 F 0.5000 0.0000 0.0000  8 Ag 3.00, 4 I 3.29
3 Ag 0.0000 0.5000 0.0000  4 F 3.00, 4 I 3.00, 4 Ag 3.29
4 I 0.5000 0.5000 0.5000  8 Ag 3.00, 4 F 3.29

Output
Formation energy without anion corrections = -1.63 eV/f.u.

---

[2]
Density functional theory data (PBE-GGA) for a geometry-optimized Ho3Sn2Rh6 structure.

Unit cell a=3.8865 b=3.8865 c=15.3350 alpha=97.28 beta=97.28 gamma=90.00
With the nearest neighbours (Å) after each atom.
Fractional positions:
1 Rh 0.5699 0.0699 0.1399  2 Sn 2.64, 4 Rh 2.75, 2 Ho 2.87
2 Ho 0.8093 0.8093 0.6187  5 Rh 2.80-2.86
3 Ho 0.0000 0.0000 0.0000  8 Rh 2.87
4 Rh 0.7165 0.7165 0.4330  1 Sn 2.64, 5 Ho 2.80-2.86
5 Rh 0.9301 0.4301 0.8601  2 Sn 2.64, 4 Rh 2.75, 2 Ho 2.87
6 Ho 0.1907 0.1907 0.3813  5 Rh 2.80-2.86
7 Rh 0.2835 0.2835 0.5670  1 Sn 2.64, 5 Ho 2.80-2.86
8 Sn 0.3708 0.3708 0.7417  5 Rh 2.64
9 Rh 0.4301 0.9301 0.8601  2 Sn 2.64, 4 Rh 2.75, 2 Ho 2.87
10 Sn 0.6292 0.6292 0.2583  5 Rh 2.64
11 Rh 0.0699 0.5699 0.1399  2 Sn 2.64, 4 Rh 2.75, 2 Ho 2.87

Output
Energy of formation = -0.429 eV/atom

---

Magnetization readings, ordered: 0.00, 0.00 Bohr magnetons per cell
VASP energy readings, ordered: -0.0988, -0.2357 Ha/atom
Energy above the most stable polymorph in this dataset readings, ordered: 0.2024, 0.2859 eV per atom